[1]
VASP calculation (PBE) on a relaxed Cu2AuO crystal.

Cell and atoms, written as POSCAR:
```
Cu2AuO
1.0
-2.437 2.437 5.380
2.437 -2.437 5.380
2.437 2.437 -5.380
Cu Au O
4 2 2
Direct
0.375 0.205 0.330 Cu
0.795 0.125 0.170 Cu
0.875 0.045 0.670 Cu
0.955 0.625 0.830 Cu
0.250 0.750 0.500 Au
0.500 0.500 0.000 Au
0.000 0.000 0.000 O
0.750 0.250 0.500 O
```

## Properties
The value obtained for the uncorrected energy is -4.169 eV per atom. The value obtained for the magnetization is 0.0 μB per formula unit.

[2]
VASP calculation (PBE) on a relaxed CuAuO3 crystal.

Cell and atoms, written as POSCAR:
```
CuAuO3
1.0
4.456 0.000 0.000
-1.656 5.375 0.000
-1.990 -1.700 5.547
Cu Au O
2 2 6
Direct
0.138 0.496 0.321 Cu
0.862 0.504 0.679 Cu
0.340 0.006 0.186 Au
0.660 0.994 0.814 Au
0.129 0.264 0.054 O
0.178 0.731 0.592 O
0.497 0.738 0.302 O
0.503 0.262 0.698 O
0.822 0.269 0.408 O
0.871 0.736 0.946 O
```

## Properties
The value obtained for the uncorrected energy is -4.617 eV per atom. The value obtained for the magnetization is 0.0 μB per formula unit.

[3]
VASP calculation (PBE) on a relaxed CuAuO3 crystal.

Cell and atoms, written as POSCAR:
```
CuAuO3
1.0
3.781 0.000 0.000
0.000 3.781 0.000
0.000 0.000 3.781
Cu Au O
1 1 3
Direct
0.000 0.000 0.000 Cu
0.500 0.500 0.500 Au
0.000 0.000 0.500 O
0.000 0.500 0.000 O
0.500 0.000 0.000 O
```

## Properties
The value obtained for the uncorrected energy is -4.041 eV per atom. The value obtained for the magnetization is 1.9 μB per formula unit.

[4]
VASP calculation (PBE) on a relaxed Cu2AuO crystal.

Cell and atoms, written as POSCAR:
```
Cu2AuO
1.0
1.472 0.850 6.663
-1.472 0.850 6.663
0.000 -1.700 6.663
Cu Au O
2 1 1
Direct
0.229 0.229 0.229 Cu
0.771 0.771 0.771 Cu
0.000 0.000 0.000 Au
0.500 0.500 0.500 O
```

## Properties
The value obtained for the uncorrected energy is -4.294 eV per atom. The value obtained for the magnetization is 0.0 μB per formula unit.

[5]
VASP calculation (PBE) on a relaxed Cu2AuO2 crystal.

Cell and atoms, written as POSCAR:
```
Cu2AuO2
1.0
3.209 -4.287 0.000
3.209 4.287 0.000
-3.198 0.000 4.538
Cu Au O
4 2 4
Direct
0.080 0.920 0.750 Cu
0.329 0.671 0.250 Cu
0.671 0.329 0.750 Cu
0.920 0.080 0.250 Cu
0.376 0.624 0.750 Au
0.624 0.376 0.250 Au
0.023 0.273 0.046 O
0.273 0.023 0.546 O
0.727 0.977 0.454 O
0.977 0.727 0.954 O
```

## Properties
The value obtained for the uncorrected energy is -4.415 eV per atom. The value obtained for the magnetization is 0.0 μB per formula unit.

[6]
VASP calculation (PBE) on a relaxed CuAuO3 crystal.

Cell and atoms, written as POSCAR:
```
CuAuO3
1.0
3.997 0.000 0.000
0.000 3.997 0.000
0.000 0.000 3.997
Cu Au O
1 1 3
Direct
0.000 0.000 0.000 Cu
0.500 0.500 0.500 Au
0.000 0.500 0.500 O
0.500 0.000 0.500 O
0.500 0.500 0.000 O
```

## Properties
The value obtained for the uncorrected energy is -3.752 eV per atom. The value obtained for the magnetization is 1.0 μB per formula unit.